# 1
Cd3SnS | GGA-PBE | relaxed

```
data_Cd3SnS
_chemical_formula_sum 'Cd3 Sn1 S1'
_symmetry_space_group_name_H-M 'P m -3 m'
_symmetry_Int_Tables_number 221
_symmetry_space_group_name_Hall '-P 4 2 3'
_cell_length_a 5.409
_cell_length_b 5.409
_cell_length_c 5.409
_cell_angle_alpha 90.00
_cell_angle_beta 90.00
_cell_angle_gamma 90.00
loop_
_atom_site_label
_atom_site_type_symbol
_atom_site_fract_x
_atom_site_fract_y
_atom_site_fract_z
Cd1 Cd 0.000 0.000 0.500
Sn1 Sn 0.000 0.000 0.000
S1 S 0.500 0.500 0.500
```

Values from the calculation:
* ρ: 5120 kg/m3
* N(E_F): 3.4 states/eV/cell
* distance to the lowest polymorph of the same formula: 137 meV/atom
* total moment: 0.01 μB/atom

***

# 2
Cd2SnS4 | GGA-PBE | relaxed

```
data_Cd2SnS4
_chemical_formula_sum 'Cd8 Sn4 S16'
_symmetry_space_group_name_H-M 'P 41 2 2'
_symmetry_Int_Tables_number 91
_cell_length_a 7.805
_cell_length_b 7.805
_cell_length_c 10.985
_cell_angle_alpha 90.00
_cell_angle_beta 90.00
_cell_angle_gamma 90.00
loop_
_symmetry_equiv_pos_as_xyz
'x,y,z'
'-y,x,z+1/4'
'-x,-y,z+1/2'
'y,-x,z+3/4'
'x,-y,-z+1/2'
'-y,-x,-z+1/4'
'-x,y,-z'
'y,x,-z+3/4'
loop_
_atom_site_label
_atom_site_type_symbol
_atom_site_fract_x
_atom_site_fract_y
_atom_site_fract_z
Cd1 Cd 0.000 0.244 0.000
Cd2 Cd 0.253 0.253 0.375
Sn1 Sn 0.243 0.500 0.750
S1 S 0.021 0.260 0.753
S2 S 0.260 0.480 0.986
```

Values from the calculation:
* ρ: 4683 kg/m3
* distance to the lowest polymorph of the same formula: 0 meV/atom
* total moment: 0.00 μB/atom